Material: ReAsPb2
Method: DFT, GGA-PBE
State: relaxed

Summary:
Energy relative to the elements = 4.81 eV per formula unit
Electronic total energy = -4.93 eV per atom
Theoretical density = 8.55 g/cm3

Structure (POSCAR):
```
ReAsPb2
1.0
-3.208 3.208 6.373
3.208 -3.208 6.373
3.208 3.208 -6.373
Re As Pb
2 2 4
direct
0.000 0.000 0.000 Re
0.750 0.250 0.500 Re
0.250 0.750 0.500 As
0.500 0.500 0.000 As
0.110 0.625 0.985 Pb
0.375 0.360 0.485 Pb
0.640 0.125 0.015 Pb
0.875 0.890 0.515 Pb
```